Record 1
! BeRh2Pb PBE-GGA relaxed; values from VASP
&SYSTEM
  ibrav = 0, nat = 4, ntyp = 3
/
ATOMIC_SPECIES
Be 9.01 Be.upf
Rh 102.91 Rh.upf
Pb 207.20 Pb.upf
ATOMIC_POSITIONS angstrom
Be 0.0000 0.0000 0.0000
Rh 0.0000 2.1013 1.7258
Rh 2.1013 0.0000 1.7258
Pb 2.1013 2.1013 0.0000
CELL_PARAMETERS angstrom
4.2026 0.0000 0.0000
0.0000 4.2026 0.0000
0.0000 0.0000 3.4516
! **Symmetry**: P4/mmm (123)
! **Total magnetic moment**: 0.00 μB per formula unit
! **Formation enthalpy at 0 K**: -0.0246 eV per atom
! **DOS(E_F)**: 1.02 states/eV/cell


Record 2
! K6SnHg12 PBE-GGA relaxed; values from VASP
&SYSTEM
  ibrav = 0, nat = 19, ntyp = 3
/
ATOMIC_SPECIES
K 39.10 K.upf
Sn 118.71 Sn.upf
Hg 200.59 Hg.upf
ATOMIC_POSITIONS angstrom
K -2.4320 -0.5328 2.8470
K 1.6774 -1.8398 2.8470
K 0.7546 2.3726 2.8470
K -0.7546 -2.3726 8.5631
K -1.6774 1.8398 8.5631
K 2.4320 0.5328 8.5631
Sn 0.0000 0.0000 5.7050
Hg -4.9336 1.9009 3.1438
Hg 0.8206 -5.2231 3.1438
Hg -0.9805 -3.0203 5.0541
Hg -4.1130 -3.3222 8.2663
Hg -3.1059 -0.6610 6.3560
Hg -2.1254 2.3592 5.0541
Hg 2.1254 -2.3593 6.3559
Hg 3.1059 0.6610 5.0541
Hg 4.1130 3.3222 3.1438
Hg 0.9805 3.0202 6.3559
Hg -0.8206 5.2231 8.2663
Hg 4.9337 -1.9009 8.2663
CELL_PARAMETERS angstrom
7.0256 4.0562 3.8034
-7.0256 4.0562 3.8034
0.0000 -8.1125 3.8034
! **Symmetry**: R-3 (148)
! **Total magnetic moment**: 0.00 μB per formula unit
! **Formation enthalpy at 0 K**: -0.1883 eV per atom
! **DOS(E_F)**: 9.24 states/eV/cell


Record 3
! BeCu3Au PBE-GGA relaxed; values from VASP
&SYSTEM
  ibrav = 0, nat = 5, ntyp = 3
/
ATOMIC_SPECIES
Be 9.01 Be.upf
Cu 63.55 Cu.upf
Au 196.97 Au.upf
ATOMIC_POSITIONS angstrom
Be 0.0000 0.0000 0.0000
Cu 0.0000 2.3660 2.3660
Cu 2.3660 0.0000 2.3660
Cu 2.3660 2.3660 0.0000
Au 2.3660 2.3660 2.3660
CELL_PARAMETERS angstrom
4.7321 0.0000 0.0000
0.0000 4.7321 0.0000
0.0000 0.0000 4.7321
! **Symmetry**: Pm-3m (221)
! **Total magnetic moment**: 0.00 μB per formula unit
! **Formation enthalpy at 0 K**: 1.2132 eV per atom
! **DOS(E_F)**: 2.65 states/eV/cell


> DOS(E_F) of number 3 (BeCu3Au)?

2.65 states/eV/cell